Below is a relaxed structure of SrCoAs2Rh, with properties calculated at the PBE level.

The structure in POSCAR format:
```
SrCoAs2Rh
1.0
4.0707 0.0000 0.0000
0.0000 4.0707 0.0000
-2.0353 -2.0353 5.8754
Rh As Co Sr
1 2 1 1
direct
0.2500 0.7500 0.5000 Rh
0.3604 0.3604 0.7207 As
0.6396 0.6396 0.2793 As
0.7500 0.2500 0.5000 Co
0.0000 0.0000 0.0000 Sr
```

Calculated values
ρ ... 6.81 g/cm3
Energy of formation from the pure elements ... -685.7 meV/atom
Crystal system ... tetragonal